Record 1
# CaMoW2

Crystalline CaMoW2 at its relaxed geometry (PBE, Alexandria via LeMat-Bulk).

The space group is I4/mmm (No. 139) and the conventional cell measures 3.900, 3.900 and 9.529 Å, with angles of 90.00, 90.00 and 90.00 degrees. The asymmetric unit holds Ca at (0.000, 0.000, 0.000), Mo at (0.000, 0.000, 0.500) and W at (0.000, 0.500, 0.250).

Its offset from the most stable computed form is 0.522 eV/atom. The calculation puts the total magnetization at 0.203 μB per atom. The value obtained for the density of states at the Fermi level is 1.415 states/eV per atom. The energy of formation from the pure elements is 1.04 eV per atom.

=====

Record 2
# MgTe2P

Crystalline MgTe2P at its relaxed geometry (PBE, Alexandria via LeMat-Bulk).

The space group is Pm (No. 6) and the conventional cell measures 4.612, 5.188 and 4.773 Å, with angles of 90.00, 102.01 and 90.00 degrees. The asymmetric unit holds Mg at (0.000, 0.000, 0.000), Te at (0.399, 0.000, 0.602), Te at (0.834, 0.500, 0.195) and P at (0.217, 0.500, 0.643).

Its offset from the most stable computed form is 0.060 eV/atom. The calculation puts the total magnetization at 0.000 μB per atom. The value obtained for the density of states at the Fermi level is 0.236 states/eV per atom. The calculation puts the formation energy without anion corrections at -0.16 eV/atom.